(1)
A relaxed structure of Mg2CdMo, computed with GGA-PBE.

POSCAR file:
```
Mg2CdMo
1.0
4.161 0.000 0.000
0.000 4.210 0.000
0.000 0.000 4.210
Mo Mg Cd
1 2 1
Direct
0.500 0.500 0.000
0.000 0.500 0.500
0.000 0.000 0.000
0.500 0.000 0.500
```

Results
Its final energy is -3.491 eV per atom. For the density of states at the Fermi level, the calculation gives 1.9 states/eV/f.u. The value obtained for the calculated formation energy is 0.243 eV/atom.

***

(2)
A relaxed structure of TmPu2NpP4, computed with GGA-PBE.

POSCAR file:
```
TmPu2NpP4
1.0
-2.755 -2.706 0.951
1.782 -3.733 -5.464
3.758 -1.920 5.427
P Tm Pu Np
4 1 2 1
Direct
0.000 0.247 0.753
0.000 0.753 0.247
0.500 0.247 0.246
0.500 0.753 0.754
0.500 0.500 0.000
0.500 0.000 0.500
0.000 0.500 0.500
0.000 0.000 0.000
```

Results
Its final energy is -9.627 eV per atom. For the density of states at the Fermi level, the calculation gives 29.0 states/eV/f.u. The value obtained for the calculated formation energy is -1.162 eV/atom.

***

(3)
A relaxed structure of ThGaH, computed with GGA-PBE.

POSCAR file:
```
ThGaH
1.0
-0.501 -4.171 0.112
4.238 -0.502 0.256
-2.447 0.447 5.699
Ga Th H
2 2 2
Direct
0.890 0.365 0.493
0.390 0.494 0.747
0.390 0.780 0.322
0.890 0.078 0.918
0.390 0.182 0.125
0.890 0.676 0.115
```

Results
Its final energy is -5.236 eV per atom. For the density of states at the Fermi level, the calculation gives 0.8 states/eV/f.u.

***

(4)
A relaxed structure of Hf2GaNi6, computed with GGA-PBE.

POSCAR file:
```
Hf2GaNi6
1.0
2.977 0.000 0.283
0.000 6.775 0.000
-0.600 -3.387 6.263
Ni Hf Ga
6 2 1
Direct
0.000 0.349 0.315
0.000 0.033 0.685
0.000 0.967 0.315
0.500 0.304 0.000
0.500 0.696 0.000
0.000 0.651 0.685
0.500 0.690 0.380
0.500 0.310 0.620
0.000 0.000 0.000
```

Results
Its final energy is -6.635 eV per atom. For the density of states at the Fermi level, the calculation gives 3.7 states/eV/f.u. The value obtained for the calculated formation energy is -0.233 eV/atom.

***

Question: Which value of final energy does entry 2 give?
Answer: -9.627 eV per atom

***

Question: Which of these has the highest final energy?
Answer: Mg2CdMo

***

Question: Number 1 is which compound?
Answer: Mg2CdMo

***

Question: What is the final energy in the second record?
Answer: -9.627 eV per atom